The following is a DFT calculation (PBE) of crystalline NpSnIr2 at its relaxed geometry.

N(E_F): 6.8 states/eV/f.u.
magnetic moment: 3.2 μB per cell
ΔH_f (0 K): -0.11 eV per atom

Cell lengths 3.0953, 3.0953, 7.6634 Å; angles 90.00, 90.00, 90.00 degrees
Last column: nearest neighbours and their distance in Å.
Space group P4/mmm (No. 123)
Inequivalent atoms, fractional coordinates:
Np  0.0000  0.0000  0.0000  8 Ir 3.01, 4 Np 3.10
Sn  0.0000  0.0000  0.5000  8 Ir 2.82, 4 Sn 3.10
Ir  0.5000  0.5000  0.2688  4 Sn 2.82, 4 Np 3.01, 4 Ir 3.10